# DyThCd2 | the Alexandria database | PBE-GGA | optimized geometry
data_DyThCd2
_chemical_formula_sum 'Dy3 Th3 Cd6'
_space_group_name_H-M_alt 'R -3 m'
_space_group_IT_number 166
_space_group_name_Hall '-R 3 2"'
_cell_length_a 3.4924
_cell_length_b 3.4924
_cell_length_c 31.8445
_cell_angle_alpha 90.00
_cell_angle_beta 90.00
_cell_angle_gamma 120.00
loop_
_atom_site_label
_atom_site_fract_x
_atom_site_fract_y
_atom_site_fract_z
Dy1 0.0000 0.0000 0.0000
Th1 0.0000 0.0000 0.5000
Cd1 0.0000 0.0000 0.2534
# M_tot = 0.0 Bohr magnetons per cell
# DOS at the Fermi energy = 12.32 states/eV/cell
# Energy of formation = -5.8 kJ per mole of atoms

***

# Dy2ThCd8 | the Alexandria database | PBE-GGA | optimized geometry
data_Dy2ThCd8
_chemical_formula_sum 'Dy4 Th2 Cd16'
_space_group_name_H-M_alt 'I m m m'
_space_group_IT_number 71
_space_group_name_Hall '-I 2 2'
_cell_length_a 5.358
_cell_length_b 6.372
_cell_length_c 15.799
_cell_angle_alpha 90.00
_cell_angle_beta 90.00
_cell_angle_gamma 90.00
loop_
_atom_site_label
_atom_site_fract_x
_atom_site_fract_y
_atom_site_fract_z
Dy1 0.000 0.000 0.188
Th1 0.000 0.500 0.000
Cd1 0.000 0.229 0.372
Cd2 0.000 0.500 0.205
Cd3 0.247 0.000 0.000
# M_tot = 0.0 Bohr magnetons per cell
# DOS at the Fermi energy = 16.12 states/eV/cell
# Energy of formation = -18.6 kJ per mole of atoms

***

# DyThCd14 | the Alexandria database | PBE-GGA | optimized geometry
data_DyThCd14
_chemical_formula_sum 'Dy1 Th1 Cd14'
_space_group_name_H-M_alt 'P 4/m m m'
_space_group_IT_number 123
_space_group_name_Hall '-P 4 2'
_cell_length_a 6.673
_cell_length_b 6.673
_cell_length_c 8.493
_cell_angle_alpha 90.00
_cell_angle_beta 90.00
_cell_angle_gamma 90.00
loop_
_atom_site_label
_atom_site_fract_x
_atom_site_fract_y
_atom_site_fract_z
Dy1 0.000 0.000 0.000
Th1 0.500 0.500 0.000
Cd1 0.000 0.000 0.500
Cd2 0.000 0.500 0.000
Cd3 0.000 0.500 0.500
Cd4 0.246 0.246 0.262
Cd5 0.500 0.500 0.500
# M_tot = 0.0 Bohr magnetons per cell
# DOS at the Fermi energy = 8.10 states/eV/cell
# Energy of formation = -8.9 kJ per mole of atoms

***

# DyThCd4 | the Alexandria database | PBE-GGA | optimized geometry
data_DyThCd4
_chemical_formula_sum 'Dy2 Th2 Cd8'
_space_group_name_H-M_alt 'I -4 m 2'
_space_group_IT_number 119
_space_group_name_Hall 'I -4 -2'
_cell_length_a 4.324
_cell_length_b 4.324
_cell_length_c 17.528
_cell_angle_alpha 90.00
_cell_angle_beta 90.00
_cell_angle_gamma 90.00
loop_
_atom_site_label
_atom_site_fract_x
_atom_site_fract_y
_atom_site_fract_z
Dy1 0.000 0.000 0.000
Th1 0.000 0.500 0.750
Cd1 0.000 0.000 0.422
Cd2 0.000 0.500 0.170
# M_tot = 0.0 Bohr magnetons per cell
# DOS at the Fermi energy = 14.92 states/eV/cell
# Energy of formation = -2.9 kJ per mole of atoms
# Energy relative to the lowest polymorph listed for this composition = 6.42 kcal/mol of atoms

***

# Dy4ThCd5 | the Alexandria database | PBE-GGA | optimized geometry
data_Dy4ThCd5
_chemical_formula_sum 'Dy4 Th1 Cd5'
_space_group_name_H-M_alt 'P 4/m m m'
_space_group_IT_number 123
_space_group_name_Hall '-P 4 2'
_cell_length_a 3.726
_cell_length_b 3.726
_cell_length_c 19.173
_cell_angle_alpha 90.00
_cell_angle_beta 90.00
_cell_angle_gamma 90.00
loop_
_atom_site_label
_atom_site_fract_x
_atom_site_fract_y
_atom_site_fract_z
Dy1 0.000 0.000 0.098
Dy2 0.000 0.000 0.295
Th1 0.000 0.000 0.500
Cd1 0.500 0.500 0.000
Cd2 0.500 0.500 0.197
Cd3 0.500 0.500 0.390
# M_tot = 0.0 Bohr magnetons per cell
# DOS at the Fermi energy = 11.90 states/eV/cell
# Energy of formation = -25.5 kJ per mole of atoms

***

# DyThCd | the Alexandria database | PBE-GGA | optimized geometry
data_DyThCd
_chemical_formula_sum 'Dy1 Th1 Cd1'
_space_group_name_H-M_alt 'P 3 m 1'
_space_group_IT_number 156
_cell_length_a 5.3314
_cell_length_b 5.3314
_cell_length_c 3.5566
_cell_angle_alpha 90.00
_cell_angle_beta 90.00
_cell_angle_gamma 120.00
loop_
_space_group_symop_operation_xyz
'x,y,z'
'-y,x-y,z'
'-x+y,-x,z'
'-y,-x,z'
'-x+y,y,z'
'x,x-y,z'
loop_
_atom_site_label
_atom_site_fract_x
_atom_site_fract_y
_atom_site_fract_z
Dy1 0.0000 0.0000 0.0000
Th1 0.6667 0.3333 0.5468
Cd1 0.3333 0.6667 0.1612
# M_tot = 0.0 Bohr magnetons per cell
# DOS at the Fermi energy = 3.36 states/eV/cell
# Energy of formation = 4.1 kJ per mole of atoms
# Energy relative to the lowest polymorph listed for this composition = 3.75 kcal/mol of atoms

***

# Dy2ThCd6 | the Alexandria database | PBE-GGA | optimized geometry
data_Dy2ThCd6
_chemical_formula_sum 'Dy2 Th1 Cd6'
_space_group_name_H-M_alt 'P 6/m m m'
_space_group_IT_number 191
_space_group_name_Hall '-P 6 2'
_cell_length_a 8.7101
_cell_length_b 8.7101
_cell_length_c 3.4108
_cell_angle_alpha 90.00
_cell_angle_beta 90.00
_cell_angle_gamma 120.00
loop_
_atom_site_label
_atom_site_fract_x
_atom_site_fract_y
_atom_site_fract_z
Dy1 0.3333 0.6667 0.0000
Th1 0.0000 0.0000 0.0000
Cd1 0.0000 0.3370 0.5000
# M_tot = 0.0 Bohr magnetons per cell
# DOS at the Fermi energy = 6.04 states/eV/cell
# Energy of formation = -26.2 kJ per mole of atoms

***

# DyTh2Cd6 | the Alexandria database | PBE-GGA | optimized geometry
data_DyTh2Cd6
_chemical_formula_sum 'Dy2 Th4 Cd12'
_space_group_name_H-M_alt 'C 1 2/m 1'
_space_group_IT_number 12
_cell_length_a 15.265
_cell_length_b 8.823
_cell_length_c 3.383
_cell_angle_alpha 90.00
_cell_angle_beta 90.02
_cell_angle_gamma 90.00
loop_
_space_group_symop_operation_xyz
'x,y,z'
'-x,-y,-z'
'-x,y,-z'
'x,-y,z'
'x+1/2,y+1/2,z'
'-x+1/2,-y+1/2,-z'
'-x+1/2,y+1/2,-z'
'x+1/2,-y+1/2,z'
loop_
_atom_site_label
_atom_site_fract_x
_atom_site_fract_y
_atom_site_fract_z
Dy1 0.000 0.000 0.000
Th1 0.167 0.500 0.000
Cd1 0.000 0.329 0.500
Cd2 0.165 0.164 0.498
# M_tot = 0.0 Bohr magnetons per cell
# DOS at the Fermi energy = 11.69 states/eV/cell
# Energy of formation = -21.7 kJ per mole of atoms

***

# DyTh2Cd | the Alexandria database | PBE-GGA | optimized geometry
data_DyTh2Cd
_chemical_formula_sum 'Dy4 Th8 Cd4'
_space_group_name_H-M_alt 'F m -3 m'
_space_group_IT_number 225
_space_group_name_Hall '-F 4 2 3'
_cell_length_a 7.807
_cell_length_b 7.807
_cell_length_c 7.807
_cell_angle_alpha 90.00
_cell_angle_beta 90.00
_cell_angle_gamma 90.00
loop_
_atom_site_label
_atom_site_fract_x
_atom_site_fract_y
_atom_site_fract_z
Dy1 0.000 0.000 0.000
Th1 0.250 0.250 0.250
Cd1 0.000 0.000 0.500
# M_tot = 0.0 Bohr magnetons per cell
# DOS at the Fermi energy = 17.74 states/eV/cell
# Energy of formation = 9.0 kJ per mole of atoms
# Energy relative to the lowest polymorph listed for this composition = 2.69 kcal/mol of atoms

***

# Dy2ThCd | the Alexandria database | PBE-GGA | optimized geometry
data_Dy2ThCd
_chemical_formula_sum 'Dy6 Th3 Cd3'
_space_group_name_H-M_alt 'R 3 m'
_space_group_IT_number 160
_space_group_name_Hall 'R 3 -2"'
_cell_length_a 3.5661
_cell_length_b 3.5661
_cell_length_c 32.6076
_cell_angle_alpha 90.00
_cell_angle_beta 90.00
_cell_angle_gamma 120.00
loop_
_atom_site_label
_atom_site_fract_x
_atom_site_fract_y
_atom_site_fract_z
Dy1 0.0000 0.0000 0.0000
Dy2 0.0000 0.0000 0.1787
Th1 0.0000 0.0000 0.4229
Cd1 0.0000 0.0000 0.5891
# M_tot = 0.0 Bohr magnetons per cell
# DOS at the Fermi energy = 21.46 states/eV/cell
# Energy of formation = -3.2 kJ per mole of atoms
# Energy relative to the lowest polymorph listed for this composition = 3.04 kcal/mol of atoms

***

# DyThCd6 | the Alexandria database | PBE-GGA | optimized geometry
data_DyThCd6
_chemical_formula_sum 'Dy2 Th2 Cd12'
_space_group_name_H-M_alt 'A m m 2'
_space_group_IT_number 38
_cell_length_a 4.964
_cell_length_b 7.024
_cell_length_c 11.309
_cell_angle_alpha 90.00
_cell_angle_beta 90.00
_cell_angle_gamma 90.00
loop_
_space_group_symop_operation_xyz
'x,y,z'
'-x,-y,z'
'-x,y,z'
'x,-y,z'
'x,y+1/2,z+1/2'
'-x,-y+1/2,z+1/2'
'-x,y+1/2,z+1/2'
'x,-y+1/2,z+1/2'
loop_
_atom_site_label
_atom_site_fract_x
_atom_site_fract_y
_atom_site_fract_z
Dy1 0.000 0.000 0.000
Th1 0.500 0.000 0.708
Cd1 0.000 0.000 0.523
Cd2 0.000 0.217 0.267
Cd3 0.500 0.000 0.181
Cd4 0.500 0.223 0.444
# M_tot = 0.0 Bohr magnetons per cell
# DOS at the Fermi energy = 10.82 states/eV/cell
# Energy of formation = -19.6 kJ per mole of atoms

***

# DyThCd2 | the Alexandria database | PBE-GGA | optimized geometry
data_DyThCd2
_chemical_formula_sum 'Dy1 Th1 Cd2'
_space_group_name_H-M_alt 'P 4/m m m'
_space_group_IT_number 123
_space_group_name_Hall '-P 4 2'
_cell_length_a 3.510
_cell_length_b 3.510
_cell_length_c 8.737
_cell_angle_alpha 90.00
_cell_angle_beta 90.00
_cell_angle_gamma 90.00
loop_
_atom_site_label
_atom_site_fract_x
_atom_site_fract_y
_atom_site_fract_z
Dy1 0.000 0.000 0.000
Th1 0.000 0.000 0.500
Cd1 0.500 0.500 0.236
# M_tot = 0.2 Bohr magnetons per cell
# DOS at the Fermi energy = 3.87 states/eV/cell
# Energy of formation = -18.9 kJ per mole of atoms

***

# DyTh2Cd | the Alexandria database | PBE-GGA | optimized geometry
data_DyTh2Cd
_chemical_formula_sum 'Dy1 Th2 Cd1'
_space_group_name_H-M_alt 'P 4/m m m'
_space_group_IT_number 123
_space_group_name_Hall '-P 4 2'
_cell_length_a 3.484
_cell_length_b 3.484
_cell_length_c 9.991
_cell_angle_alpha 90.00
_cell_angle_beta 90.00
_cell_angle_gamma 90.00
loop_
_atom_site_label
_atom_site_fract_x
_atom_site_fract_y
_atom_site_fract_z
Dy1 0.000 0.000 0.000
Th1 0.500 0.500 0.263
Cd1 0.000 0.000 0.500
# M_tot = 0.0 Bohr magnetons per cell
# DOS at the Fermi energy = 4.28 states/eV/cell
# Energy of formation = 1.3 kJ per mole of atoms
# Energy relative to the lowest polymorph listed for this composition = 0.85 kcal/mol of atoms

***

# Dy2ThCd | the Alexandria database | PBE-GGA | optimized geometry
data_Dy2ThCd
_chemical_formula_sum 'Dy2 Th1 Cd1'
_space_group_name_H-M_alt 'P 4/m m m'
_space_group_IT_number 123
_space_group_name_Hall '-P 4 2'
_cell_length_a 4.883
_cell_length_b 4.883
_cell_length_c 4.870
_cell_angle_alpha 90.00
_cell_angle_beta 90.00
_cell_angle_gamma 90.00
loop_
_atom_site_label
_atom_site_fract_x
_atom_site_fract_y
_atom_site_fract_z
Dy1 0.000 0.500 0.000
Th1 0.000 0.000 0.500
Cd1 0.500 0.500 0.500
# M_tot = 0.0 Bohr magnetons per cell
# DOS at the Fermi energy = 6.30 states/eV/cell
# Energy of formation = -3.4 kJ per mole of atoms
# Energy relative to the lowest polymorph listed for this composition = 3.01 kcal/mol of atoms

***

# Dy2ThCd | the Alexandria database | PBE-GGA | optimized geometry
data_Dy2ThCd
_chemical_formula_sum 'Dy8 Th4 Cd4'
_space_group_name_H-M_alt 'F m -3 m'
_space_group_IT_number 225
_space_group_name_Hall '-F 4 2 3'
_cell_length_a 7.738
_cell_length_b 7.738
_cell_length_c 7.738
_cell_angle_alpha 90.00
_cell_angle_beta 90.00
_cell_angle_gamma 90.00
loop_
_atom_site_label
_atom_site_fract_x
_atom_site_fract_y
_atom_site_fract_z
Dy1 0.250 0.250 0.250
Th1 0.000 0.000 0.000
Cd1 0.000 0.000 0.500
# M_tot = 3.7 Bohr magnetons per cell
# DOS at the Fermi energy = 27.12 states/eV/cell
# Energy of formation = 9.8 kJ per mole of atoms
# Energy relative to the lowest polymorph listed for this composition = 6.16 kcal/mol of atoms

***

# DyThCd5 | the Alexandria database | PBE-GGA | optimized geometry
data_DyThCd5
_chemical_formula_sum 'Dy1 Th1 Cd5'
_space_group_name_H-M_alt 'P 4/m m m'
_space_group_IT_number 123
_space_group_name_Hall '-P 4 2'
_cell_length_a 5.175
_cell_length_b 5.175
_cell_length_c 7.031
_cell_angle_alpha 90.00
_cell_angle_beta 90.00
_cell_angle_gamma 90.00
loop_
_atom_site_label
_atom_site_fract_x
_atom_site_fract_y
_atom_site_fract_z
Dy1 0.000 0.000 0.000
Th1 0.500 0.500 0.500
Cd1 0.000 0.000 0.500
Cd2 0.000 0.500 0.227
# M_tot = 0.0 Bohr magnetons per cell
# DOS at the Fermi energy = 3.49 states/eV/cell
# Energy of formation = -0.7 kJ per mole of atoms

***

# DyThCd | the Alexandria database | PBE-GGA | optimized geometry
data_DyThCd
_chemical_formula_sum 'Dy8 Th8 Cd8'
_space_group_name_H-M_alt 'F m m m'
_space_group_IT_number 69
_space_group_name_Hall '-F 2 2'
_cell_length_a 5.714
_cell_length_b 10.328
_cell_length_c 12.008
_cell_angle_alpha 90.00
_cell_angle_beta 90.00
_cell_angle_gamma 90.00
loop_
_atom_site_label
_atom_site_fract_x
_atom_site_fract_y
_atom_site_fract_z
Dy1 0.000 0.000 0.139
Th1 0.000 0.168 0.500
Cd1 0.250 0.250 0.250
# M_tot = 0.0 Bohr magnetons per cell
# DOS at the Fermi energy = 26.45 states/eV/cell
# Energy of formation = -9.1 kJ per mole of atoms
# Energy relative to the lowest polymorph listed for this composition = 0.60 kcal/mol of atoms

***

# Dy2ThTl2Cd2 | the Alexandria database | PBE-GGA | optimized geometry
data_Dy2ThTl2Cd2
_chemical_formula_sum 'Dy6 Th3 Tl6 Cd6'
_space_group_name_H-M_alt 'R -3 m'
_space_group_IT_number 166
_space_group_name_Hall '-R 3 2"'
_cell_length_a 5.0626
_cell_length_b 5.0626
_cell_length_c 25.8993
_cell_angle_alpha 90.00
_cell_angle_beta 90.00
_cell_angle_gamma 120.00
loop_
_atom_site_label
_atom_site_fract_x
_atom_site_fract_y
_atom_site_fract_z
Dy1 0.0000 0.0000 0.1329
Th1 0.0000 0.0000 0.0000
Tl1 0.0000 0.0000 0.2699
Cd1 0.0000 0.0000 0.4298
# M_tot = 0.0 Bohr magnetons per cell
# DOS at the Fermi energy = 18.66 states/eV/cell
# Energy of formation = -6.9 kJ per mole of atoms

***

# DyTmThCd | the Alexandria database | PBE-GGA | optimized geometry
data_DyTmThCd
_chemical_formula_sum 'Dy4 Tm4 Th4 Cd4'
_space_group_name_H-M_alt 'F -4 3 m'
_space_group_IT_number 216
_space_group_name_Hall 'F -4 2 3'
_cell_length_a 7.716
_cell_length_b 7.716
_cell_length_c 7.716
_cell_angle_alpha 90.00
_cell_angle_beta 90.00
_cell_angle_gamma 90.00
loop_
_atom_site_label
_atom_site_fract_x
_atom_site_fract_y
_atom_site_fract_z
Dy1 0.000 0.000 0.000
Tm1 0.000 0.000 0.500
Th1 0.250 0.250 0.250
Cd1 0.250 0.250 0.750
# M_tot = 5.0 Bohr magnetons per cell
# DOS at the Fermi energy = 25.33 states/eV/cell
# Energy of formation = 10.8 kJ per mole of atoms
# Energy relative to the lowest polymorph listed for this composition = 6.31 kcal/mol of atoms

***

# DyTmThCd | the Alexandria database | PBE-GGA | optimized geometry
data_DyTmThCd
_chemical_formula_sum 'Dy1 Tm1 Th1 Cd1'
_space_group_name_H-M_alt 'P 4 m m'
_space_group_IT_number 99
_cell_length_a 3.598
_cell_length_b 3.598
_cell_length_c 8.800
_cell_angle_alpha 90.00
_cell_angle_beta 90.00
_cell_angle_gamma 90.00
loop_
_space_group_symop_operation_xyz
'x,y,z'
'-y,x,z'
'-x,-y,z'
'y,-x,z'
'-x,y,z'
'y,x,z'
'x,-y,z'
'-y,-x,z'
loop_
_atom_site_label
_atom_site_fract_x
_atom_site_fract_y
_atom_site_fract_z
Dy1 0.000 0.000 0.000
Tm1 0.000 0.000 0.541
Th1 0.500 0.500 0.273
Cd1 0.500 0.500 0.766
# M_tot = 0.0 Bohr magnetons per cell
# DOS at the Fermi energy = 5.27 states/eV/cell
# Energy of formation = -15.6 kJ per mole of atoms
# Energy relative to the lowest polymorph listed for this composition = 0.00 kcal/mol of atoms